VASP calculation (PBE) on an optimized crystal structure of InSiSCl2.

Output
Raw total energy, eV/atom: -3.62
Raw formation energy, eV/atom: -0.420
Symmetry: No. 123
Relative energy among the computed polymorphs, meV per atom: 0.0

The structure in POSCAR format:
```
InSiSCl2
1.0
-4.560 1.296 1.796
-1.044 -4.883 0.874
1.754 0.374 4.185
S Cl In Si
1 2 1 1
direct
0.000 0.000 0.500
0.000 0.500 0.000
0.500 0.000 0.000
0.500 0.500 0.500
0.000 0.000 0.000
```

=====

VASP calculation (PBE) on an optimized crystal structure of InSnSCl2.

Output
Raw total energy, eV/atom: -3.26
Raw formation energy, eV/atom: -0.350
Symmetry: No. 123
Relative energy among the computed polymorphs, meV per atom: 173.2

The structure in POSCAR format:
```
InSnSCl2
1.0
5.130 0.000 0.000
0.000 5.130 0.000
0.000 0.000 5.116
S In Sn Cl
1 1 1 2
direct
0.000 0.000 0.500
0.000 0.000 0.000
0.500 0.500 0.500
0.500 0.000 0.000
0.000 0.500 0.000
```

=====

VASP calculation (PBE) on an optimized crystal structure of InSnSCl2.

Output
Raw total energy, eV/atom: -3.44
Raw formation energy, eV/atom: -0.523
Symmetry: No. 123
Relative energy among the computed polymorphs, meV per atom: 0.0

The structure in POSCAR format:
```
InSnSCl2
1.0
5.181 0.000 0.000
0.000 5.181 0.000
0.000 0.000 4.962
Cl S In Sn
2 1 1 1
direct
0.500 0.000 0.000
0.000 0.500 0.000
0.000 0.000 0.500
0.500 0.500 0.500
0.000 0.000 0.000
```

=====

VASP calculation (PBE) on an optimized crystal structure of SrInSCl2.

Output
Raw total energy, eV/atom: -3.54
Raw formation energy, eV/atom: -1.088
Symmetry: No. 123
Relative energy among the computed polymorphs, meV per atom: 70.7

The structure in POSCAR format:
```
SrInSCl2
1.0
-3.988 -3.283 2.172
3.289 -0.828 4.786
-2.372 4.472 2.404
S Cl Sr In
1 2 1 1
direct
0.000 0.500 0.000
0.000 0.000 0.500
0.500 0.000 0.000
0.000 0.000 0.000
0.500 0.500 0.500
```

=====

VASP calculation (PBE) on an optimized crystal structure of SrInSCl2.

Output
Raw total energy, eV/atom: -3.61
Raw formation energy, eV/atom: -1.159
Symmetry: No. 123
Relative energy among the computed polymorphs, meV per atom: 0.0

The structure in POSCAR format:
```
SrInSCl2
1.0
-2.094 -3.846 -3.007
4.731 -2.406 -0.218
-1.185 -2.720 4.303
Cl In Sr S
2 1 1 1
direct
0.500 0.000 0.000
0.000 0.500 0.000
0.000 0.000 0.000
0.500 0.500 0.500
0.000 0.000 0.500
```

=====

VASP calculation (PBE) on an optimized crystal structure of TaInSCl2.

Output
Raw total energy, eV/atom: -3.81
Raw formation energy, eV/atom: 0.673
Symmetry: No. 123
Relative energy among the computed polymorphs, meV per atom: 1252.1

The structure in POSCAR format:
```
TaInSCl2
1.0
5.036 0.000 0.000
0.000 5.036 0.000
0.000 0.000 5.117
Cl Ta In S
2 1 1 1
direct
0.000 0.500 0.000
0.500 0.000 0.000
0.500 0.500 0.500
0.000 0.000 0.000
0.000 0.000 0.500
```

=====

VASP calculation (PBE) on an optimized crystal structure of TaInS2Cl.

Output
Raw total energy, eV/atom: -4.16
Raw formation energy, eV/atom: 0.778
Symmetry: No. 123
Relative energy among the computed polymorphs, meV per atom: 1354.7

The structure in POSCAR format:
```
TaInS2Cl
1.0
-3.083 3.355 -2.310
-3.549 -3.634 -0.543
-1.923 1.227 4.350
S Cl In Ta
2 1 1 1
direct
0.500 0.000 0.000
0.000 0.500 0.000
0.000 0.000 0.500
0.000 0.000 0.000
0.500 0.500 0.500
```

=====

VASP calculation (PBE) on an optimized crystal structure of TaInS2Cl.

Output
Raw total energy, eV/atom: -5.52
Raw formation energy, eV/atom: -0.577
Symmetry: No. 123
Relative energy among the computed polymorphs, meV per atom: 0.0

The structure in POSCAR format:
```
TaInS2Cl
1.0
4.994 0.000 0.000
0.000 4.994 0.000
0.000 0.000 5.184
S In Ta Cl
2 1 1 1
direct
0.000 0.500 0.000
0.500 0.000 0.000
0.500 0.500 0.500
0.000 0.000 0.000
0.000 0.000 0.500
```

=====

VASP calculation (PBE) on an optimized crystal structure of TaInSCl2.

Output
Raw total energy, eV/atom: -5.06
Raw formation energy, eV/atom: -0.579
Symmetry: No. 123
Relative energy among the computed polymorphs, meV per atom: 0.0

The structure in POSCAR format:
```
TaInSCl2
1.0
4.965 0.000 0.000
0.000 4.965 0.000
0.000 0.000 4.830
Cl In Ta S
2 1 1 1
direct
0.000 0.500 0.000
0.500 0.000 0.000
0.500 0.500 0.500
0.000 0.000 0.000
0.000 0.000 0.500
```

=====

VASP calculation (PBE) on an optimized crystal structure of InTcSCl2.

Output
Raw total energy, eV/atom: -3.74
Raw formation energy, eV/atom: 0.446
Symmetry: No. 123
Relative energy among the computed polymorphs, meV per atom: 741.1

The structure in POSCAR format:
```
InTcSCl2
1.0
-4.016 2.977 1.126
-2.494 -1.818 -4.090
-1.960 -3.723 2.850
S Cl In Tc
1 2 1 1
direct
0.000 0.000 0.500
0.000 0.500 0.000
0.500 0.000 0.000
0.000 0.000 0.000
0.500 0.500 0.500
```

=====

VASP calculation (PBE) on an optimized crystal structure of InTcS2Cl.

Output
Raw total energy, eV/atom: -3.96
Raw formation energy, eV/atom: 0.685
Symmetry: No. 123
Relative energy among the computed polymorphs, meV per atom: 867.6

The structure in POSCAR format:
```
InTcS2Cl
1.0
5.245 0.000 0.000
0.000 5.245 0.000
0.000 0.000 5.094
S Tc In Cl
2 1 1 1
direct
0.000 0.500 0.000
0.500 0.000 0.000
0.500 0.500 0.500
0.000 0.000 0.000
0.000 0.000 0.500
```

=====

VASP calculation (PBE) on an optimized crystal structure of InTcSCl2.

Output
Raw total energy, eV/atom: -4.48
Raw formation energy, eV/atom: -0.295
Symmetry: No. 123
Relative energy among the computed polymorphs, meV per atom: 0.0

The structure in POSCAR format:
```
InTcSCl2
1.0
5.059 0.000 0.000
0.000 5.059 0.000
0.000 0.000 4.451
Cl In Tc S
2 1 1 1
direct
0.000 0.500 0.000
0.500 0.000 0.000
0.500 0.500 0.500
0.000 0.000 0.000
0.000 0.000 0.500
```